# Pm4HoTm10, optimized geometry, DFT PBE
data_Pm4HoTm10
_symmetry_space_group_name_H-M 'I 4/m m m'
_symmetry_Int_Tables_number 139
_symmetry_space_group_name_Hall '-I 4 2'
_cell_length_a 11.163
_cell_length_b 11.163
_cell_length_c 7.881
_cell_angle_alpha 90.00
_cell_angle_beta 90.00
_cell_angle_gamma 90.00
loop_
_atom_site_label
_atom_site_type_symbol
_atom_site_fract_x
_atom_site_fract_y
_atom_site_fract_z
Pm1 Pm 0.228 0.228 0.000
Ho1 Ho 0.000 0.000 0.000
Tm1 Tm 0.000 0.208 0.294
Tm2 Tm 0.000 0.500 0.250
# ΔE_f ... 0.28 eV per atom
# Total magnetization ... 0.00 μB per cell

# Pm12HoTm6, optimized geometry, DFT PBE
data_Pm12HoTm6
_symmetry_space_group_name_H-M 'R -3'
_symmetry_Int_Tables_number 148
_symmetry_space_group_name_Hall '-R 3'
_cell_length_a 14.7222
_cell_length_b 14.7222
_cell_length_c 10.4492
_cell_angle_alpha 90.00
_cell_angle_beta 90.00
_cell_angle_gamma 120.00
loop_
_atom_site_label
_atom_site_type_symbol
_atom_site_fract_x
_atom_site_fract_y
_atom_site_fract_z
Pm1 Pm 0.0554 0.2520 0.0805
Pm2 Pm 0.0640 0.2258 0.4184
Ho1 Ho 0.0000 0.0000 0.0000
Tm1 Tm 0.0515 0.2169 0.7597
# ΔE_f ... 0.24 eV per atom
# Total magnetization ... 0.00 μB per cell
# Energy above the most stable polymorph in this dataset ... 107 meV per atom

# PmHo2Tm7, optimized geometry, DFT PBE
data_PmHo2Tm7
_symmetry_space_group_name_H-M 'P -1'
_symmetry_Int_Tables_number 2
_cell_length_a 5.364
_cell_length_b 6.954
_cell_length_c 9.335
_cell_angle_alpha 68.16
_cell_angle_beta 73.31
_cell_angle_gamma 89.95
loop_
_symmetry_equiv_pos_as_xyz
'x,y,z'
'-x,-y,-z'
loop_
_atom_site_label
_atom_site_type_symbol
_atom_site_fract_x
_atom_site_fract_y
_atom_site_fract_z
Pm1 Pm 0.000 0.000 0.000
Ho1 Ho 0.200 0.700 0.601
Tm1 Tm 0.000 0.500 0.000
Tm2 Tm 0.200 0.201 0.599
Tm3 Tm 0.390 0.141 0.220
Tm4 Tm 0.390 0.638 0.220
# ΔE_f ... 0.05 eV per atom
# Total magnetization ... 0.00 μB per cell
# Energy above the most stable polymorph in this dataset ... 0 meV per atom

# Pm2Ho2Tm5, optimized geometry, DFT PBE
data_Pm2Ho2Tm5
_symmetry_space_group_name_H-M 'I m a 2'
_symmetry_Int_Tables_number 46
_cell_length_a 14.840
_cell_length_b 11.639
_cell_length_c 6.699
_cell_angle_alpha 90.00
_cell_angle_beta 90.00
_cell_angle_gamma 90.00
loop_
_symmetry_equiv_pos_as_xyz
'x,y,z'
'-x,-y,z'
'-x+1/2,y,z'
'x+1/2,-y,z'
'x+1/2,y+1/2,z+1/2'
'-x+1/2,-y+1/2,z+1/2'
'-x,y+1/2,z+1/2'
'x,-y+1/2,z+1/2'
loop_
_atom_site_label
_atom_site_type_symbol
_atom_site_fract_x
_atom_site_fract_y
_atom_site_fract_z
Pm1 Pm 0.127 0.007 0.000
Ho1 Ho 0.000 0.000 0.556
Ho2 Ho 0.250 0.514 0.946
Tm1 Tm 0.054 0.240 0.349
Tm2 Tm 0.143 0.737 0.169
Tm3 Tm 0.250 0.247 0.649
# ΔE_f ... 0.22 eV per atom
# Total magnetization ... 0.00 μB per cell
# Energy above the most stable polymorph in this dataset ... 196 meV per atom

# PmHo2Tm6, optimized geometry, DFT PBE
data_PmHo2Tm6
_symmetry_space_group_name_H-M 'P -6 m 2'
_symmetry_Int_Tables_number 187
_symmetry_space_group_name_Hall 'P -6 2'
_cell_length_a 3.5595
_cell_length_b 3.5595
_cell_length_c 25.7201
_cell_angle_alpha 90.00
_cell_angle_beta 90.00
_cell_angle_gamma 120.00
loop_
_atom_site_label
_atom_site_type_symbol
_atom_site_fract_x
_atom_site_fract_y
_atom_site_fract_z
Pm1 Pm 0.0000 0.0000 0.0000
Ho1 Ho 0.3333 0.6667 0.3282
Tm1 Tm 0.0000 0.0000 0.2195
Tm2 Tm 0.0000 0.0000 0.4353
Tm3 Tm 0.3333 0.6667 0.1125
# ΔE_f ... 0.05 eV per atom
# Total magnetization ... 1.27 μB per cell
# Energy above the most stable polymorph in this dataset ... 0 meV per atom

# PmHo4Tm15, optimized geometry, DFT PBE
data_PmHo4Tm15
_symmetry_space_group_name_H-M 'P 4/m m m'
_symmetry_Int_Tables_number 123
_symmetry_space_group_name_Hall '-P 4 2'
_cell_length_a 4.952
_cell_length_b 4.952
_cell_length_c 24.762
_cell_angle_alpha 90.00
_cell_angle_beta 90.00
_cell_angle_gamma 90.00
loop_
_atom_site_label
_atom_site_type_symbol
_atom_site_fract_x
_atom_site_fract_y
_atom_site_fract_z
Pm1 Pm 0.000 0.000 0.000
Ho1 Ho 0.000 0.000 0.201
Ho2 Ho 0.000 0.000 0.400
Tm1 Tm 0.000 0.500 0.101
Tm2 Tm 0.000 0.500 0.301
Tm3 Tm 0.000 0.500 0.500
Tm4 Tm 0.500 0.500 0.000
Tm5 Tm 0.500 0.500 0.201
Tm6 Tm 0.500 0.500 0.400
# ΔE_f ... 0.03 eV per atom
# Total magnetization ... 0.00 μB per cell

# Pm12Ho5Tm, optimized geometry, DFT PBE
data_Pm12Ho5Tm
_symmetry_space_group_name_H-M 'C 1 2/m 1'
_symmetry_Int_Tables_number 12
_cell_length_a 11.176
_cell_length_b 17.957
_cell_length_c 5.967
_cell_angle_alpha 90.00
_cell_angle_beta 90.00
_cell_angle_gamma 90.00
loop_
_symmetry_equiv_pos_as_xyz
'x,y,z'
'-x,-y,-z'
'-x,y,-z'
'x,-y,z'
'x+1/2,y+1/2,z'
'-x+1/2,-y+1/2,-z'
'-x+1/2,y+1/2,-z'
'x+1/2,-y+1/2,z'
loop_
_atom_site_label
_atom_site_type_symbol
_atom_site_fract_x
_atom_site_fract_y
_atom_site_fract_z
Pm1 Pm 0.159 0.000 0.496
Pm2 Pm 0.160 0.500 0.004
Pm3 Pm 0.162 0.166 0.004
Pm4 Pm 0.162 0.335 0.496
Ho1 Ho 0.000 0.000 0.000
Ho2 Ho 0.000 0.169 0.500
Ho3 Ho 0.000 0.332 0.000
Tm1 Tm 0.000 0.500 0.500
# ΔE_f ... 0.11 eV per atom
# Total magnetization ... 0.00 μB per cell

# PmHo3Tm7, optimized geometry, DFT PBE
data_PmHo3Tm7
_symmetry_space_group_name_H-M 'P 1 2/m 1'
_symmetry_Int_Tables_number 10
_cell_length_a 6.859
_cell_length_b 5.459
_cell_length_c 9.815
_cell_angle_alpha 90.00
_cell_angle_beta 109.22
_cell_angle_gamma 90.00
loop_
_symmetry_equiv_pos_as_xyz
'x,y,z'
'-x,-y,-z'
'-x,y,-z'
'x,-y,z'
loop_
_atom_site_label
_atom_site_type_symbol
_atom_site_fract_x
_atom_site_fract_y
_atom_site_fract_z
Pm1 Pm 0.000 0.000 0.000
Ho1 Ho 0.276 0.500 0.494
Ho2 Ho 0.500 0.000 0.000
Tm1 Tm 0.000 0.000 0.500
Tm2 Tm 0.151 0.500 0.790
Tm3 Tm 0.322 0.500 0.142
Tm4 Tm 0.429 0.000 0.332
# ΔE_f ... 0.16 eV per atom
# Total magnetization ... 0.00 μB per cell
# Energy above the most stable polymorph in this dataset ... 0 meV per atom